Entry 1:
CaCu2Ir2, relaxed, DFT PBE-GGA; space group = P4/mbm; total moment = 0.00 μB/cell; DFT formation energy = 52 meV/atom; E above lowest polymorph = 0.000 eV/atom
1.0
7.4929 0.0000 0.0000
0.0000 7.4929 0.0000
0.0000 0.0000 2.8159
Ca Cu Ir
2 4 4
Direct
0.0000 0.0000 0.0000
0.5000 0.5000 0.0000
0.1732 0.3268 0.5000
0.3268 0.8268 0.5000
0.6732 0.1732 0.5000
0.8268 0.6732 0.5000
0.1235 0.6235 0.0000
0.3765 0.1235 0.0000
0.6235 0.8765 0.0000
0.8765 0.3765 0.0000

Entry 2:
Ca2CuIr, relaxed, DFT PBE-GGA; space group = P2/m; total moment = 0.00 μB/cell; DFT formation energy = 121 meV/atom
1.0
4.8774 0.0000 0.0000
0.0000 3.2669 0.0000
-0.0313 0.0000 5.6871
Ca Cu Ir
2 1 1
Direct
0.0000 0.0000 0.0000
0.5000 0.5000 0.5000
0.0000 0.0000 0.5000
0.5000 0.5000 0.0000

Entry 3:
CaCu2Ir2, relaxed, DFT PBE-GGA; space group = I4/mmm; total moment = 0.00 μB/cell; DFT formation energy = 76 meV/atom; E above lowest polymorph = 0.024 eV/atom
1.0
-1.9290 1.9290 5.6889
1.9290 -1.9290 5.6889
1.9290 1.9290 -5.6889
Ca Cu Ir
1 2 2
Direct
0.0000 0.0000 0.0000
0.3957 0.3957 0.0000
0.6043 0.6043 0.0000
0.2500 0.7500 0.5000
0.7500 0.2500 0.5000

Look up the total moment of the second one. 0.00 μB/cell

What is the DFT formation energy in the third record? 76 meV/atom

Which value of DFT formation energy does entry 2 give? 121 meV/atom